## ReRhS2 (PBE-GGA)

Data for ReRhS2 after structural relaxation.

Values from the calculation:
For the total energy, the calculation gives -28.334 eV per cell. The excess energy over the best structure of this formula in the dataset is 0 meV per atom. As for the uncorrected formation energy: -0.070 eV/atom.

a b c (Å): 8.0050 8.0050 8.0050
angles (deg): 21.88 21.88 21.88
Fractional positions:
Re1 0.5000 0.5000 0.5000
S1 0.9040 0.9040 0.9040
S2 0.0960 0.0960 0.0960
Rh1 0.0000 0.0000 0.0000